# 1
PBE K2BaCeO4, relaxed; energy = -6.16 eV per atom; mass density = 4.47 Mg/m³; energy relative to the elements, uncorrected = -2.425 eV per atom
1.0
6.658 0.000 0.000
0.000 3.736 0.000
-2.353 0.000 6.261
K Ba Ce O
2 1 1 4
direct
0.000 0.000 0.000 K
0.500 0.500 0.000 K
0.000 0.500 0.500 Ba
0.500 0.000 0.500 Ce
0.290 0.000 0.689 O
0.294 0.500 0.305 O
0.706 0.500 0.695 O
0.710 0.000 0.311 O


# 2
PBE KBaCeO4, relaxed; energy = -6.57 eV per atom; mass density = 4.71 Mg/m³; energy relative to the elements, uncorrected = -2.453 eV per atom
1.0
-2.234 2.234 6.723
2.234 -2.234 6.723
2.234 2.234 -6.723
K Ba Ce O
1 1 1 4
direct
0.000 0.000 0.000 K
0.291 0.291 0.000 Ba
0.643 0.643 0.000 Ce
0.157 0.657 0.500 O
0.485 0.485 0.000 O
0.657 0.157 0.500 O
0.803 0.803 0.000 O


# 3
PBE KBa2CeO4, relaxed; energy = -6.28 eV per atom; mass density = 5.48 Mg/m³; energy relative to the elements, uncorrected = -2.444 eV per atom
1.0
-3.768 3.842 5.417
3.768 -3.842 5.417
3.768 3.842 -5.417
K Ba Ce O
2 4 2 8
direct
0.000 0.000 0.000 K
0.500 0.000 0.500 K
0.000 0.500 0.500 Ba
0.500 0.000 0.000 Ba
0.500 0.500 0.000 Ba
0.500 0.500 0.500 Ba
0.000 0.000 0.500 Ce
0.000 0.500 0.000 Ce
0.210 0.217 0.507 O
0.210 0.703 0.993 O
0.216 0.748 0.468 O
0.220 0.252 0.968 O
0.780 0.748 0.032 O
0.784 0.252 0.532 O
0.790 0.297 0.007 O
0.790 0.783 0.493 O


# 4
PBE KBa2Ce3S8, relaxed; energy = -5.83 eV per atom; mass density = 3.53 Mg/m³; energy relative to the elements, uncorrected = -1.848 eV per atom
1.0
4.266 2.463 7.386
-4.266 2.463 7.386
0.000 -4.926 7.386
K Ba Ce S
1 2 3 8
direct
0.000 0.000 0.000 K
0.250 0.250 0.250 Ba
0.628 0.628 0.628 Ba
0.122 0.627 0.627 Ce
0.627 0.122 0.627 Ce
0.627 0.627 0.122 Ce
0.378 0.378 0.823 S
0.378 0.823 0.378 S
0.393 0.393 0.393 S
0.430 0.876 0.876 S
0.823 0.378 0.378 S
0.857 0.857 0.857 S
0.876 0.430 0.876 S
0.876 0.876 0.430 S


# 5
PBE K2BaCeS4, relaxed; energy = -5.01 eV per atom; mass density = 3.31 Mg/m³; energy relative to the elements, uncorrected = -1.695 eV per atom
1.0
-4.307 4.497 6.261
4.307 -4.497 6.261
4.307 4.497 -6.261
K Ba Ce S
4 2 2 8
direct
0.000 0.000 0.000 K
0.500 0.000 0.000 K
0.500 0.000 0.500 K
0.500 0.500 0.500 K
0.000 0.500 0.500 Ba
0.500 0.500 0.000 Ba
0.000 0.000 0.500 Ce
0.000 0.500 0.000 Ce
0.204 0.749 0.456 S
0.207 0.251 0.956 S
0.216 0.221 0.504 S
0.216 0.712 0.996 S
0.784 0.288 0.004 S
0.784 0.779 0.496 S
0.793 0.749 0.044 S
0.796 0.251 0.544 S


# 6
PBE KBa2CeSe4, relaxed; energy = -4.90 eV per atom; mass density = 4.69 Mg/m³; energy relative to the elements, uncorrected = -1.799 eV per atom
1.0
7.855 0.000 0.000
0.000 4.589 0.000
-2.574 0.000 7.555
K Ba Ce Se
1 2 1 4
direct
0.000 0.000 0.000 K
0.500 0.000 0.500 Ba
0.500 0.500 0.000 Ba
0.000 0.500 0.500 Ce
0.228 0.000 0.729 Se
0.236 0.500 0.271 Se
0.764 0.500 0.729 Se
0.772 0.000 0.271 Se


# 7
PBE K2BaCeSe4, relaxed; energy = -4.63 eV per atom; mass density = 4.09 Mg/m³; energy relative to the elements, uncorrected = -1.629 eV per atom
1.0
7.927 0.000 0.000
0.000 4.503 0.000
-2.604 0.000 7.641
K Ba Ce Se
2 1 1 4
direct
0.000 0.000 0.000 K
0.500 0.500 0.000 K
0.000 0.500 0.500 Ba
0.500 0.000 0.500 Ce
0.277 0.000 0.715 Se
0.291 0.500 0.293 Se
0.709 0.500 0.707 Se
0.723 0.000 0.285 Se


# 8
PBE KBaCe2Te4, relaxed; energy = -4.87 eV per atom; mass density = 5.30 Mg/m³; energy relative to the elements, uncorrected = -1.433 eV per atom
1.0
8.063 0.000 0.000
0.000 4.659 0.000
-2.679 0.000 8.073
K Ba Ce Te
1 1 2 4
direct
0.000 0.000 0.000 K
0.500 0.500 0.000 Ba
0.000 0.500 0.500 Ce
0.500 0.000 0.500 Ce
0.241 0.000 0.725 Te
0.260 0.500 0.279 Te
0.740 0.500 0.721 Te
0.759 0.000 0.275 Te